(1)
# TbNiO3, relaxed, DFT GGA-PBEsol
# **Raw formation energy**: -2.26 eV/atom
# **DOS(E_F)**: 0.373 states/eV/atom
# **Calculated volume**: 206.6 Å³/cell
# **E**: -152.8 eV per cell
# **Crystal system**: orthorhombic
data_TbNiO3
_space_group_name_H-M_alt 'P n m a'
_space_group_IT_number 62
_cell_length_a 5.489
_cell_length_b 7.327
_cell_length_c 5.137
_cell_angle_alpha 90.00
_cell_angle_beta 90.00
_cell_angle_gamma 90.00
loop_
_space_group_symop_operation_xyz
'x,y,z'
'-x,-y,-z'
'-x+1/2,-y,z+1/2'
'x+1/2,y,-z+1/2'
'x+1/2,-y+1/2,-z+1/2'
'-x+1/2,y+1/2,z+1/2'
'-x,y+1/2,-z'
'x,-y+1/2,z'
loop_
_atom_site_label
_atom_site_fract_x
_atom_site_fract_y
_atom_site_fract_z
Tb1 0.074 0.250 0.020
Ni1 0.000 0.000 0.500
O1 0.024 0.750 0.405
O2 0.200 0.547 0.804

(2)
# Ni2Te3O8, relaxed, DFT GGA-PBEsol
# **Raw formation energy**: -0.91 eV/atom
# **Calculated volume**: 700.0 Å³/cell
# **E**: -307.1 eV per cell
# **Crystal system**: monoclinic
data_Ni2Te3O8
_space_group_name_H-M_alt 'C 1 2/c 1'
_space_group_IT_number 15
_cell_length_a 12.228
_cell_length_b 5.135
_cell_length_c 11.276
_cell_angle_alpha 90.00
_cell_angle_beta 98.65
_cell_angle_gamma 90.00
loop_
_space_group_symop_operation_xyz
'x,y,z'
'-x,-y,-z'
'-x,y,-z+1/2'
'x,-y,z+1/2'
'x+1/2,y+1/2,z'
'-x+1/2,-y+1/2,-z'
'-x+1/2,y+1/2,-z+1/2'
'x+1/2,-y+1/2,z+1/2'
loop_
_atom_site_label
_atom_site_fract_x
_atom_site_fract_y
_atom_site_fract_z
Ni1 0.237 0.179 0.356
Te1 0.000 0.198 0.750
Te2 0.131 0.192 0.053
O1 0.086 0.039 0.358
O2 0.112 0.155 0.628
O3 0.197 0.352 0.201
O4 0.232 0.491 0.972

(3)
# NiTeO4, relaxed, DFT GGA-PBEsol
# **Energy relative to the lowest polymorph listed for this composition**: 0 meV/atom
# **Raw formation energy**: -0.86 eV/atom
# **DOS(E_F)**: 0.141 states/eV/atom
# **Calculated volume**: 130.6 Å³/cell
# **E**: -71.7 eV per cell
# **Crystal system**: monoclinic
data_NiTeO4
_space_group_name_H-M_alt 'P 1 21/c 1'
_space_group_IT_number 14
_cell_length_a 5.537
_cell_length_b 4.606
_cell_length_c 5.601
_cell_angle_alpha 90.00
_cell_angle_beta 113.88
_cell_angle_gamma 90.00
loop_
_space_group_symop_operation_xyz
'x,y,z'
'-x,-y,-z'
'-x,y+1/2,-z+1/2'
'x,-y+1/2,z+1/2'
loop_
_atom_site_label
_atom_site_fract_x
_atom_site_fract_y
_atom_site_fract_z
Ni1 0.000 0.000 0.000
Te1 0.500 0.000 0.500
O1 0.171 0.201 0.349
O2 0.339 0.720 0.667

(4)
# Ni3TeO, relaxed, DFT GGA-PBEsol
# **Raw formation energy**: -0.09 eV/atom
# **DOS(E_F)**: 0.917 states/eV/atom
# **Calculated volume**: 61.2 Å³/cell
# **E**: -27.7 eV per cell
# **Crystal system**: cubic
data_Ni3TeO
_space_group_name_H-M_alt 'P m -3 m'
_space_group_IT_number 221
_space_group_name_Hall '-P 4 2 3'
_cell_length_a 3.941
_cell_length_b 3.941
_cell_length_c 3.941
_cell_angle_alpha 90.00
_cell_angle_beta 90.00
_cell_angle_gamma 90.00
loop_
_atom_site_label
_atom_site_fract_x
_atom_site_fract_y
_atom_site_fract_z
Ni1 0.000 0.000 0.500
Te1 0.500 0.500 0.500
O1 0.000 0.000 0.000

(5)
# NiTe6O13, relaxed, DFT GGA-PBEsol
# **Raw formation energy**: -1.00 eV/atom
# **Calculated volume**: 1631.4 Å³/cell
# **E**: -692.8 eV per cell
# **Crystal system**: trigonal
data_NiTe6O13
_space_group_name_H-M_alt 'R -3'
_space_group_IT_number 148
_space_group_name_Hall '-R 3'
_cell_length_a 10.0298
_cell_length_b 10.0298
_cell_length_c 18.7264
_cell_angle_alpha 90.00
_cell_angle_beta 90.00
_cell_angle_gamma 120.00
loop_
_atom_site_label
_atom_site_fract_x
_atom_site_fract_y
_atom_site_fract_z
Ni1 0.0000 0.0000 0.2443
Te1 0.0657 0.2399 0.9101
Te2 0.0772 0.2400 0.4071
O1 0.0000 0.0000 0.4157
O2 0.0014 0.2515 0.5480
O3 0.0559 0.1886 0.0698
O4 0.0569 0.1963 0.8103
O5 0.0942 0.8923 0.3062

(6)
# Ni5Te2O12, relaxed, DFT GGA-PBEsol
# **Raw formation energy**: -0.72 eV/atom
# **DOS(E_F)**: 0.410 states/eV/atom
# **Calculated volume**: 421.2 Å³/cell
# **E**: -229.2 eV per cell
# **Crystal system**: monoclinic
data_Ni5Te2O12
_space_group_name_H-M_alt 'C 1 2 1'
_space_group_IT_number 5
_cell_length_a 5.040
_cell_length_b 8.914
_cell_length_c 9.649
_cell_angle_alpha 90.00
_cell_angle_beta 103.66
_cell_angle_gamma 90.00
loop_
_space_group_symop_operation_xyz
'x,y,z'
'-x,y,-z'
'x+1/2,y+1/2,z'
'-x+1/2,y+1/2,-z'
loop_
_atom_site_label
_atom_site_fract_x
_atom_site_fract_y
_atom_site_fract_z
Ni1 0.000 0.000 0.000
Ni2 0.000 0.138 0.500
Ni3 0.000 0.473 0.500
Ni4 0.231 0.800 0.235
Te1 0.000 0.328 0.000
Te2 0.000 0.806 0.500
O1 0.093 0.168 0.885
O2 0.114 0.306 0.388
O3 0.117 0.653 0.383
O4 0.124 0.858 0.885
O5 0.126 0.962 0.389
O6 0.151 0.467 0.878

(7)
# Ni3TeO6, relaxed, DFT GGA-PBEsol
# **Raw formation energy**: -0.78 eV/atom
# **DOS(E_F)**: 0.163 states/eV/atom
# **Calculated volume**: 305.1 Å³/cell
# **E**: -183.8 eV per cell
# **Crystal system**: trigonal
data_Ni3TeO6
_space_group_name_H-M_alt 'R 3'
_space_group_IT_number 146
_space_group_name_Hall 'R 3'
_cell_length_a 5.0831
_cell_length_b 5.0831
_cell_length_c 13.6353
_cell_angle_alpha 90.00
_cell_angle_beta 90.00
_cell_angle_gamma 120.00
loop_
_atom_site_label
_atom_site_fract_x
_atom_site_fract_y
_atom_site_fract_z
Ni1 0.0000 0.0000 0.0000
Ni2 0.0000 0.0000 0.2042
Ni3 0.0000 0.0000 0.4963
Te1 0.0000 0.0000 0.6984
O1 0.0321 0.6786 0.7677
O2 0.0349 0.3654 0.2697

(8)
# NiTeO4, relaxed, DFT GGA-PBEsol
# **Energy relative to the lowest polymorph listed for this composition**: 98 meV/atom
# **Raw formation energy**: -0.76 eV/atom
# **DOS(E_F)**: 0.081 states/eV/atom
# **Calculated volume**: 73.8 Å³/cell
# **E**: -35.3 eV per cell
# **Crystal system**: monoclinic
data_NiTeO4
_space_group_name_H-M_alt 'P 1 2/m 1'
_space_group_IT_number 10
_cell_length_a 4.862
_cell_length_b 3.079
_cell_length_c 5.230
_cell_angle_alpha 90.00
_cell_angle_beta 109.47
_cell_angle_gamma 90.00
loop_
_space_group_symop_operation_xyz
'x,y,z'
'-x,-y,-z'
'-x,y,-z'
'x,-y,z'
loop_
_atom_site_label
_atom_site_fract_x
_atom_site_fract_y
_atom_site_fract_z
Ni1 0.000 0.000 0.000
Te1 0.000 0.500 0.500
O1 0.202 0.500 0.243
O2 0.229 0.000 0.726